1.
# Tl2SF

Crystalline Tl2SF at its relaxed geometry (PBE, the Alexandria database). Values from VASP.

- Excess energy over the best structure of this formula in the dataset: 0 meV per atom
- DFT total energy: -29.0 eV for the cell shown
- Volume: 231.9 Å³ per cell
- Formation energy without anion corrections: -0.939 eV per atom
- Total magnetization: 0.0 Bohr magnetons per cell

Quantum ESPRESSO input file:
```
&SYSTEM
  ibrav = 0, nat = 8, ntyp = 3
/
ATOMIC_SPECIES
Tl 204.38 Tl.upf
S 32.06 S.upf
F 19.00 F.upf
CELL_PARAMETERS angstrom
4.073 0.001 0.001
0.001 6.218 0.223
0.003 0.283 9.167
ATOMIC_POSITIONS crystal
Tl 0.701 0.593 0.196
Tl 0.701 0.690 0.718
Tl 0.201 0.187 0.515
Tl 0.201 0.078 0.994
S 0.201 0.933 0.249
S 0.701 0.212 0.846
F 0.201 0.742 0.886
F 0.701 0.432 0.459
```

2.
# TlSF

Crystalline TlSF at its relaxed geometry (PBE, the Alexandria database). Values from VASP.

- Excess energy over the best structure of this formula in the dataset: 47 meV per atom
- DFT total energy: -22.8 eV for the cell shown
- Volume: 151.1 Å³ per cell
- Formation energy without anion corrections: -1.007 eV per atom
- Total magnetization: 1.0 Bohr magnetons per cell

Quantum ESPRESSO input file:
```
&SYSTEM
  ibrav = 0, nat = 6, ntyp = 3
/
ATOMIC_SPECIES
Tl 204.38 Tl.upf
S 32.06 S.upf
F 19.00 F.upf
CELL_PARAMETERS angstrom
1.770 11.397 1.719
-1.770 11.397 1.719
0.000 0.943 3.885
ATOMIC_POSITIONS crystal
Tl 0.176 0.176 0.918
Tl 0.824 0.824 0.082
S 0.459 0.459 0.180
S 0.541 0.541 0.820
F 0.293 0.293 0.652
F 0.707 0.707 0.348
```

3.
# TlSF3

Crystalline TlSF3 at its relaxed geometry (PBE, the Alexandria database). Values from VASP.

- Excess energy over the best structure of this formula in the dataset: 144 meV per atom
- DFT total energy: -16.3 eV for the cell shown
- Volume: 90.9 Å³ per cell
- Formation energy without anion corrections: -0.848 eV per atom
- Total magnetization: 2.2 Bohr magnetons per cell

Quantum ESPRESSO input file:
```
&SYSTEM
  ibrav = 0, nat = 5, ntyp = 3
/
ATOMIC_SPECIES
Tl 204.38 Tl.upf
S 32.06 S.upf
F 19.00 F.upf
CELL_PARAMETERS angstrom
-1.340 -3.385 2.638
3.794 -2.226 -0.927
2.004 1.950 3.520
ATOMIC_POSITIONS crystal
Tl 0.000 0.000 0.000
S 0.500 0.500 0.500
F 0.000 0.500 0.000
F 0.000 0.000 0.500
F 0.500 0.000 0.000
```